1.
Below is a geometry-optimized YBePt2 structure, with properties calculated at the PBEsol level.

Unit cell a=3.5499 b=4.2096 c=5.1312 alpha=114.22 beta=110.24 gamma=90.00
Fractional positions:
Pt 0.9724 0.9724 0.9448
Be 0.2819 0.7819 0.5638
Pt 0.7392 0.2392 0.4784
Y 0.5065 0.5065 0.0131

Computed properties:
N(E_F) ... 1.0 states/eV per cell
Energy of formation from the pure elements ... -678 meV/atom
Crystal system ... orthorhombic

***

2.
Below is a geometry-optimized YBe3Pt structure, with properties calculated at the PBEsol level.

Unit cell a=4.2489 b=4.2489 c=4.2489 alpha=90.00 beta=90.00 gamma=90.00
Fractional positions:
Be 0.5000 0.0000 0.0000
Y 0.5000 0.5000 0.5000
Pt 0.0000 0.0000 0.0000
Be 0.0000 0.0000 0.5000
Be 0.0000 0.5000 0.0000

Computed properties:
N(E_F) ... 2.9 states/eV per cell
Energy of formation from the pure elements ... -294 meV/atom
Crystal system ... cubic

***

3.
Below is a geometry-optimized YBePt structure, with properties calculated at the PBEsol level.

Unit cell a=3.8198 b=3.9989 c=3.9989 alpha=120.00 beta=90.00 gamma=90.00
Fractional positions:
Y 0.5000 0.6667 0.3333
Pt 0.0000 0.3333 0.6667
Be 0.0000 0.0000 0.0000

Computed properties:
N(E_F) ... 1.5 states/eV per cell
Distance to the lowest polymorph of the same formula ... 0.000 eV per atom
Energy of formation from the pure elements ... -829 meV/atom
Crystal system ... hexagonal